VASP calculation (SCAN) on a crystal of LiIrRh2 relaxed with PBEsol.

POSCAR file:
```
LiIrRh2
1.0
2.669 0.000 0.000
0.000 3.772 0.000
0.000 0.000 5.214
Li Ir Rh
1 1 2
Direct
0.000 0.000 0.000
0.000 0.000 0.500
0.500 0.500 0.246
0.500 0.500 0.754
```

Results
**Energy of formation from the pure elements**: -0.32 eV per formula unit
**VASP energy**: -35.338 eV per atom
**DOS(E_F)**: 4.03 states/eV/f.u.
**Symmetry**: Pmmm